# 1
Material: TaTc2Ru
Method: DFT, PBE
State: relaxed

Values from the calculation:
- calculated total energy (eV for the cell shown) = -41.91
- energy relative to the lowest polymorph listed for this composition (eV/f.u.) = 0.17
- spin magnetization (μB per atom) = 0.000
- energy of formation (kJ/mol of atoms) = -1.1
- space-group type = Pmmm
- calculated density (g cm⁻³) = 12.92

abc: 3.1177 4.3650 4.5148
angles: 90.00 90.00 90.00
Atoms (fractional coordinates):
Ru: 0.5000 0.0000 0.5000
Ta: 0.0000 0.5000 0.5000
Tc: 0.5000 0.5000 0.0000
Tc: 0.0000 0.0000 0.0000



# 2
Material: CrRe2Si
Method: DFT, PBE
State: relaxed

Values from the calculation:
- calculated total energy (eV for the cell shown) = -39.27
- spin magnetization (μB per atom) = 0.088
- energy relative to the elements, uncorrected (kcal/mol of atoms) = 3.86
- space-group type = Cmm2
- calculated density (g cm⁻³) = 13.64

abc: 2.6970 2.6970 8.2495
angles: 90.00 90.00 113.37
Each line ends with the local moment (μB).
Atoms (fractional coordinates):
Re: 0.0000 0.0000 0.9875  -0.02
Cr: 0.5000 0.5000 0.7369  0.33
Re: 0.5000 0.5000 0.2645  0.03
Si: 0.0000 0.0000 0.5110  -0.01



# 3
Material: RbCoAs
Method: DFT, PBE
State: relaxed

Values from the calculation:
- calculated total energy (eV for the cell shown) = -26.13
- spin magnetization (μB per atom) = 0.103
- energy of formation (kJ/mol of atoms) = -11.0
- space-group type = P1
- calculated density (g cm⁻³) = 4.33

abc: 3.9189 3.9189 12.7090
angles: 85.63 85.18 60.05
Each line ends with the local moment (μB).
Atoms (fractional coordinates):
As: 0.9855 0.2948 0.9226  -0.01
Rb: 0.2329 0.5649 0.3525  0.00
As: 0.6059 0.9275 0.1538  -0.01
Co: 0.6418 0.9536 0.9744  0.33
Rb: 0.6941 0.9948 0.7070  0.00
Co: 0.9494 0.2685 0.1033  0.31



# 4
Material: MgMnI3
Method: DFT, PBE
State: relaxed

Values from the calculation:
- calculated total energy (eV for the cell shown) = -16.09
- energy relative to the lowest polymorph listed for this composition (eV/f.u.) = 0.00
- spin magnetization (μB per atom) = 0.820
- energy relative to the elements, uncorrected (kcal/mol of atoms) = -3.10
- space-group type = Pm-3m
- calculated density (g cm⁻³) = 4.19

abc: 5.6720 5.6720 5.6720
angles: 90.00 90.00 90.00
Each line ends with the local moment (μB).
Atoms (fractional coordinates):
I: 0.0000 0.5000 0.0000  0.04
Mg: 0.5000 0.5000 0.5000  -0.16
I: 0.5000 0.0000 0.0000  0.05
I: 0.0000 0.0000 0.5000  0.02
Mn: 0.0000 0.0000 0.0000  4.28



# 5
Material: ZnGe
Method: DFT, PBE
State: relaxed

Values from the calculation:
- calculated total energy (eV for the cell shown) = -10.64
- spin magnetization (μB per atom) = 0.000
- energy of formation (kJ/mol of atoms) = 27.7
- space-group type = P6_3/mmc
- calculated density (g cm⁻³) = 5.17

abc: 4.3924 4.3924 5.3099
angles: 90.00 90.00 120.00
Atoms (fractional coordinates):
Ge: 0.3333 0.6667 0.7500
Zn: 0.3333 0.6667 0.2500
Zn: 0.6667 0.3333 0.7500
Ge: 0.6667 0.3333 0.2500



# 6
Material: Nd2PaH
Method: DFT, PBE
State: relaxed

Values from the calculation:
- calculated total energy (eV for the cell shown) = -21.82
- energy relative to the lowest polymorph listed for this composition (eV/f.u.) = 0.00
- spin magnetization (μB per atom) = 0.000
- space-group type = R-3m
- calculated density (g cm⁻³) = 9.31

abc: 3.3219 3.3219 9.9026
angles: 80.34 80.34 60.00
Atoms (fractional coordinates):
Nd: 0.8879 0.8879 0.3363
H: 0.5000 0.5000 0.5000
Pa: 0.0000 0.0000 0.0000
Nd: 0.1121 0.1121 0.6637